a:
Material: HfCrReNi
Method: DFT, PBE-GGA
State: optimized geometry

Results
SG = No. 99
calculated density = 13557 kg/m³

Lattice parameters (Å, degrees): 3.1135 3.1135 6.0069 90.00 90.00 90.00
Last column: nearest neighbours and their distance in Å.
Fractional positions:
1 Ni 0.5000 0.5000 0.5141  4 Hf 2.66, 4 Re 2.68, 1 Cr 2.80
2 Cr 0.5000 0.5000 0.0478  4 Re 2.54, 4 Hf 2.79, 1 Ni 2.80
3 Hf 0.0000 0.0000 0.7617  4 Ni 2.66, 4 Cr 2.79
4 Re 0.0000 0.0000 0.2600  4 Cr 2.54, 4 Ni 2.68



b:
Material: HfCrReNi
Method: DFT, PBE-GGA
State: optimized geometry

Results
SG = No. 44
calculated density = 13411 kg/m³

Lattice parameters (Å, degrees): 4.4101 3.1850 8.3814 90.00 90.00 90.00
Last column: nearest neighbours and their distance in Å.
Fractional positions:
1 Ni 0.5000 0.5000 0.7147  2 Cr 2.59, 2 Hf 2.73, 4 Re 2.74
2 Ni 0.0000 0.0000 0.2147  2 Cr 2.59, 2 Hf 2.73, 4 Re 2.74
3 Cr 0.0000 0.5000 0.9715  2 Re 2.44, 2 Ni 2.59, 4 Hf 2.72
4 Cr 0.5000 0.0000 0.4715  2 Re 2.44, 2 Ni 2.59, 4 Hf 2.72
5 Re 0.5000 0.5000 0.2509  2 Cr 2.44
6 Re 0.0000 0.0000 0.7509  2 Cr 2.44
7 Hf 0.0000 0.5000 0.4796  4 Cr 2.72, 4 Ni 2.73-2.96, 4 Re 2.78-2.92
8 Hf 0.5000 0.0000 0.9796  4 Cr 2.72, 4 Ni 2.73-2.96, 4 Re 2.78-2.92



a comes first in stability; the runner-up is 82 meV per atom higher.